(1)
Computed, not measured: a geometry-optimized SbN2O2 structure at the PBE level of DFT.

DFT total energy   -4.45 eV per atom
ΔE to the lowest computed polymorph   2264 meV per atom
SG   P4/mmm (123)
Raw formation energy   1.69 eV per atom
Crystal system   tetragonal
Magnetic moment   0.4 μB/cell

abc: 3.694 3.694 3.617
angles: 90.00 90.00 90.00
Fractional coordinates of all 5 atoms:
1 Sb 0.500 0.500 0.500
2 O 0.000 0.000 0.000
3 O 0.000 0.000 0.500
4 N 0.000 0.500 0.000
5 N 0.500 0.000 0.000

(2)
Computed, not measured: a geometry-optimized ZrCu structure at the PBE level of DFT.

DFT total energy   -6.07 eV per atom
SG   I4/m (87)
Energy of formation from the pure elements   0.5 eV/f.u.
Crystal system   tetragonal
Magnetic moment   0.0 μB/cell

abc: 10.081 10.081 2.906
angles: 90.00 90.00 90.00
Fractional coordinates of all 16 atoms:
1 Zr 0.375 0.321 0.000
2 Zr 0.625 0.679 0.000
3 Zr 0.679 0.375 0.000
4 Zr 0.321 0.625 0.000
5 Zr 0.875 0.821 0.500
6 Zr 0.125 0.179 0.500
7 Zr 0.179 0.875 0.500
8 Zr 0.821 0.125 0.500
9 Cu 0.421 0.878 0.000
10 Cu 0.579 0.122 0.000
11 Cu 0.122 0.421 0.000
12 Cu 0.878 0.579 0.000
13 Cu 0.921 0.378 0.500
14 Cu 0.079 0.622 0.500
15 Cu 0.622 0.921 0.500
16 Cu 0.378 0.079 0.500

(3)
Computed, not measured: a geometry-optimized GdCdO3 structure at the PBE level of DFT.

DFT total energy   -7.37 eV per atom
SG   Pm-3m (221)
Raw formation energy   -1.40 eV per atom
Crystal system   cubic
Magnetic moment   6.9 μB/cell

abc: 4.141 4.141 4.141
angles: 90.00 90.00 90.00
Fractional coordinates of all 5 atoms:
1 Gd 0.000 0.000 0.000
2 Cd 0.500 0.500 0.500
3 O 0.500 0.500 0.000
4 O 0.500 0.000 0.500
5 O 0.000 0.500 0.500

(4)
Computed, not measured: a geometry-optimized TbPrTlIr structure at the PBE level of DFT.

DFT total energy   -5.54 eV per atom
SG   F-43m (216)
Energy of formation from the pure elements   -1.5 eV/f.u.
Crystal system   cubic
Magnetic moment   0.0 μB/cell

abc: 5.214 5.214 5.214
angles: 60.00 60.00 60.00
Fractional coordinates of all 4 atoms:
1 Pr 0.250 0.250 0.250
2 Tl 0.500 0.500 0.500
3 Ir 0.000 0.000 0.000
4 Tb 0.750 0.750 0.750

(5)
Computed, not measured: a geometry-optimized ZrTa2C structure at the PBE level of DFT.

DFT total energy   -10.30 eV per atom
SG   Cmmm (65)
Energy of formation from the pure elements   0.3 eV/f.u.
Crystal system   orthorhombic
Magnetic moment   0.0 μB/cell

abc: 2.951 2.951 8.131
angles: 90.00 90.00 113.64
Fractional coordinates of all 4 atoms:
1 C 0.500 0.500 0.750
2 Zr 0.500 0.500 0.250
3 Ta 0.000 0.000 0.931
4 Ta 0.000 0.000 0.569

(6)
Computed, not measured: a geometry-optimized TiAlHgPd2 structure at the PBE level of DFT.

DFT total energy   -4.11 eV per atom
SG   P4/mmm (123)
Energy of formation from the pure elements   1.8 eV/f.u.
Crystal system   tetragonal
Magnetic moment   0.0 μB/cell

abc: 4.553 4.890 4.553
angles: 90.00 90.00 90.00
Fractional coordinates of all 5 atoms:
1 Al 0.000 0.000 0.000
2 Hg 0.500 0.500 0.500
3 Pd 0.000 0.000 0.500
4 Pd 0.500 0.000 0.000
5 Ti 0.000 0.500 0.000

(7)
Computed, not measured: a geometry-optimized Na3PuCr2Se6 structure at the PBE level of DFT.

DFT total energy   -5.83 eV per atom
SG   C2/m (12)
Raw formation energy   -0.96 eV per atom
Crystal system   monoclinic
Magnetic moment   1.0 μB/cell

abc: 6.737 6.737 7.347
angles: 98.91 98.91 120.05
Fractional coordinates of all 12 atoms:
1 Na 0.160 0.840 0.500
2 Na 0.840 0.160 0.500
3 Na 0.500 0.500 0.500
4 Pu 0.000 0.000 0.000
5 Cr 0.333 0.667 0.000
6 Cr 0.667 0.333 0.000
7 Se 0.929 0.563 0.790
8 Se 0.705 0.705 0.210
9 Se 0.071 0.437 0.210
10 Se 0.563 0.929 0.790
11 Se 0.295 0.295 0.790
12 Se 0.437 0.071 0.210

(8)
Computed, not measured: a geometry-optimized LiTaN structure at the PBE level of DFT.

DFT total energy   -8.05 eV per atom
ΔE to the lowest computed polymorph   0 meV per atom
SG   C2/m (12)
Raw formation energy   -0.69 eV per atom
Crystal system   monoclinic
Magnetic moment   0.0 μB/cell

abc: 5.394 3.054 10.634
angles: 90.00 117.36 90.00
Fractional coordinates of all 12 atoms:
1 Li 0.452 0.000 0.121
2 Li 0.548 0.000 0.879
3 Li 0.452 0.500 0.621
4 Li 0.548 0.500 0.379
5 Ta 0.909 0.000 0.613
6 Ta 0.091 0.000 0.387
7 Ta 0.909 0.500 0.113
8 Ta 0.091 0.500 0.887
9 N 0.000 0.000 0.000
10 N 0.000 0.500 0.500
11 N 0.500 0.000 0.500
12 N 0.500 0.500 0.000

(9)
Computed, not measured: a geometry-optimized ZrPb2 structure at the PBE level of DFT.

DFT total energy   -5.31 eV per atom
SG   Cm (8)
Energy of formation from the pure elements   0.0 eV/f.u.
Crystal system   monoclinic
Magnetic moment   0.0 μB/cell

abc: 6.327 6.327 7.938
angles: 78.85 78.85 30.43
Fractional coordinates of all 6 atoms:
1 Zr 0.039 0.039 0.412
2 Zr 0.739 0.739 0.022
3 Pb 0.018 0.018 0.026
4 Pb 0.660 0.660 0.660
5 Pb 0.320 0.320 0.319
6 Pb 0.390 0.390 0.728

(10)
Computed, not measured: a geometry-optimized AcSc2Be structure at the PBE level of DFT.

DFT total energy   -4.98 eV per atom
SG   P4/mmm (123)
Energy of formation from the pure elements   0.6 eV/f.u.
Crystal system   tetragonal
Magnetic moment   0.0 μB/cell

abc: 3.403 3.403 8.447
angles: 90.00 90.00 90.00
Fractional coordinates of all 4 atoms:
1 Sc 0.000 0.000 0.825
2 Sc 0.000 0.000 0.175
3 Be 0.500 0.500 0.000
4 Ac 0.500 0.500 0.500

(11)
Computed, not measured: a geometry-optimized RbAc2ScO5 structure at the PBE level of DFT.

DFT total energy   -7.45 eV per atom
SG   I4/mcm (140)
Raw formation energy   -2.97 eV per atom
Crystal system   tetragonal
Magnetic moment   0.0 μB/cell

abc: 7.277 7.277 7.956
angles: 117.22 117.22 90.00
Fractional coordinates of all 18 atoms:
1 Rb 0.250 0.250 0.500
2 Rb 0.750 0.750 0.500
3 Ac 0.184 0.316 0.000
4 Ac 0.684 0.184 0.000
5 Ac 0.316 0.816 0.000
6 Ac 0.816 0.684 0.000
7 Sc 0.250 0.750 0.500
8 Sc 0.750 0.250 0.500
9 O 0.997 0.497 0.266
10 O 0.730 0.230 0.734
11 O 0.003 0.503 0.734
12 O 0.230 0.003 0.734
13 O 0.503 0.730 0.734
14 O 0.770 0.997 0.266
15 O 0.497 0.270 0.266
16 O 0.270 0.770 0.266
17 O 0.500 0.500 0.000
18 O 0.000 0.000 0.000

(12)
Computed, not measured: a geometry-optimized Mg2ReIr structure at the PBE level of DFT.

DFT total energy   -5.94 eV per atom
ΔE to the lowest computed polymorph   266 meV per atom
SG   P4/mmm (123)
Energy of formation from the pure elements   0.7 eV/f.u.
Crystal system   tetragonal
Magnetic moment   0.0 μB/cell

abc: 4.303 3.845 3.845
angles: 90.00 90.00 90.00
Fractional coordinates of all 4 atoms:
1 Ir 0.500 0.000 0.500
2 Mg 0.000 0.000 0.000
3 Mg 0.000 0.500 0.500
4 Re 0.500 0.500 0.000

(13)
Computed, not measured: a geometry-optimized MnZnAsSe2 structure at the PBE level of DFT.

DFT total energy   -3.26 eV per atom
ΔE to the lowest computed polymorph   850 meV per atom
SG   P4/mmm (123)
Raw formation energy   1.15 eV per atom
Crystal system   tetragonal
Magnetic moment   0.2 μB/cell

abc: 4.915 4.915 4.699
angles: 90.00 90.00 90.00
Fractional coordinates of all 5 atoms:
1 As 0.000 0.000 0.500
2 Mn 0.500 0.500 0.500
3 Zn 0.000 0.000 0.000
4 Se 0.000 0.500 0.000
5 Se 0.500 0.000 0.000

(14)
Computed, not measured: a geometry-optimized NaP3W structure at the PBE level of DFT.

DFT total energy   -3.93 eV per atom
ΔE to the lowest computed polymorph   2001 meV per atom
SG   Pm-3m (221)
Energy of formation from the pure elements   10.9 eV/f.u.
Crystal system   cubic
Magnetic moment   0.0 μB/cell

abc: 4.564 4.564 4.564
angles: 90.00 90.00 90.00
Fractional coordinates of all 5 atoms:
1 P 0.000 0.500 0.000
2 P 0.000 0.000 0.500
3 P 0.500 0.000 0.000
4 W 0.500 0.500 0.500
5 Na 0.000 0.000 0.000

(15)
Computed, not measured: a geometry-optimized VGa2Co structure at the PBE level of DFT.

DFT total energy   -5.72 eV per atom
SG   Fm-3m (225)
Energy of formation from the pure elements   -0.6 eV/f.u.
Crystal system   cubic
Magnetic moment   2.5 μB/cell

abc: 4.222 4.222 4.222
angles: 60.00 60.00 60.00
Fractional coordinates of all 4 atoms:
1 Co 0.500 0.500 0.500
2 Ga 0.250 0.250 0.250
3 Ga 0.750 0.750 0.750
4 V 0.000 0.000 0.000

(16)
Computed, not measured: a geometry-optimized PrPu2In structure at the PBE level of DFT.

DFT total energy   -8.95 eV per atom
ΔE to the lowest computed polymorph   182 meV per atom
SG   Fm-3m (225)
Energy of formation from the pure elements   0.4 eV/f.u.
Crystal system   cubic
Magnetic moment   13.6 μB/cell

abc: 5.428 5.428 5.428
angles: 60.00 60.00 60.00
Fractional coordinates of all 4 atoms:
1 Pr 0.500 0.500 0.500
2 In 0.000 0.000 0.000
3 Pu 0.250 0.250 0.250
4 Pu 0.750 0.750 0.750

(17)
Computed, not measured: a geometry-optimized KNbP2 structure at the PBE level of DFT.

DFT total energy   -5.12 eV per atom
ΔE to the lowest computed polymorph   656 meV per atom
SG   Fm-3m (225)
Energy of formation from the pure elements   1.5 eV/f.u.
Crystal system   cubic
Magnetic moment   0.0 μB/cell

abc: 4.727 4.727 4.727
angles: 60.00 60.00 60.00
Fractional coordinates of all 4 atoms:
1 P 0.250 0.250 0.250
2 P 0.750 0.750 0.750
3 Nb 0.500 0.500 0.500
4 K 0.000 0.000 0.000

(18)
Computed, not measured: a geometry-optimized TePtAu structure at the PBE level of DFT.

DFT total energy   -4.16 eV per atom
ΔE to the lowest computed polymorph   63 meV per atom
SG   F-43m (216)
Raw formation energy   -0.01 eV per atom
Crystal system   cubic
Magnetic moment   0.0 μB/cell

abc: 4.559 4.559 4.559
angles: 60.00 60.00 60.00
Fractional coordinates of all 3 atoms:
1 Au 0.500 0.500 0.500
2 Pt 0.750 0.750 0.750
3 Te 0.000 0.000 0.000

(19)
Computed, not measured: a geometry-optimized LaYMg2 structure at the PBE level of DFT.

DFT total energy   -3.63 eV per atom
SG   I-4m2 (119)
Energy of formation from the pure elements   0.1 eV/f.u.
Crystal system   tetragonal
Magnetic moment   0.0 μB/cell

abc: 6.136 6.136 6.136
angles: 134.05 134.05 67.00
Fractional coordinates of all 4 atoms:
1 La 0.750 0.250 0.500
2 Mg 0.000 0.000 0.000
3 Mg 0.250 0.750 0.500
4 Y 0.500 0.500 0.000

(20)
Computed, not measured: a geometry-optimized ZrOsSe structure at the PBE level of DFT.

DFT total energy   -8.34 eV per atom
SG   Pmmn (59)
Raw formation energy   -0.59 eV per atom
Crystal system   orthorhombic
Magnetic moment   0.0 μB/cell

abc: 3.261 9.702 3.771
angles: 90.00 90.00 90.00
Fractional coordinates of all 6 atoms:
1 Zr 0.000 0.727 0.000
2 Zr 0.500 0.273 0.500
3 Os 0.000 0.450 0.000
4 Os 0.500 0.550 0.500
5 Se 0.000 0.154 0.000
6 Se 0.500 0.846 0.500